# Nb3ZnAg PBE-GGA relaxed
data_Nb3ZnAg
_chemical_formula_sum 'Nb3 Zn1 Ag1'
_space_group_name_H-M_alt 'P 1'
_space_group_IT_number 1
_space_group_name_Hall 'P 1'
_cell_length_a 4.9252
_cell_length_b 4.9252
_cell_length_c 4.9252
_cell_angle_alpha 90.00
_cell_angle_beta 90.00
_cell_angle_gamma 90.00
loop_
_atom_site_label
_atom_site_type_symbol
_atom_site_fract_x
_atom_site_fract_y
_atom_site_fract_z
Zn1 Zn 0.5000 0.5000 0.5000
Nb1 Nb 0.5000 0.0000 0.0000
Ag1 Ag 0.0000 0.0000 0.0000
Nb2 Nb 0.0000 0.0000 0.5000
Nb3 Nb 0.0000 0.5000 0.0000
# Crystal system   cubic
# ρ   6282 kg/m3
# Formation energy   1.82 eV per atom
# Raw total energy   -5.05 eV/atom
# Magnetic moment   1.8 Bohr magnetons per cell

***

# NbZnAg PBE-GGA relaxed
data_NbZnAg
_chemical_formula_sum 'Nb1 Zn1 Ag1'
_space_group_name_H-M_alt 'P 1'
_space_group_IT_number 1
_space_group_name_Hall 'P 1'
_cell_length_a 2.8984
_cell_length_b 2.8984
_cell_length_c 6.3018
_cell_angle_alpha 103.30
_cell_angle_beta 103.30
_cell_angle_gamma 90.00
loop_
_atom_site_label
_atom_site_type_symbol
_atom_site_fract_x
_atom_site_fract_y
_atom_site_fract_z
Ag1 Ag 0.3245 0.3245 0.6490
Nb1 Nb 0.0083 0.0083 0.0167
Zn1 Zn 0.6672 0.6672 0.3343
# Crystal system   tetragonal
# ρ   8829 kg/m3
# Formation energy   0.03 eV per atom
# Raw total energy   -4.70 eV/atom
# Magnetic moment   0.0 Bohr magnetons per cell